# BMoO2 (GGA+U, optimized geometry)
data_BMoO2
_cell_length_a 6.0350
_cell_length_b 6.0350
_cell_length_c 6.0350
_cell_angle_alpha 27.47
_cell_angle_beta 27.47
_cell_angle_gamma 27.47
_symmetry_space_group_name_H-M 'P 1'
_symmetry_Int_Tables_number 1
loop_
_symmetry_equiv_pos_as_xyz
'x,y,z'
loop_
_atom_site_label
_atom_site_type_symbol
_atom_site_fract_x
_atom_site_fract_y
_atom_site_fract_z
_atom_site_occupancy
O1 O 0.9235 0.9235 0.9235 1
O2 O 0.0765 0.0765 0.0765 1
Mo1 Mo 0.5000 0.5000 0.5000 1
B1 B 0.0000 0.0000 0.0000 1
# Symmetry   R-3m
# E_tot   -6.52 eV/atom
# Total magnetization   0.001 μB per formula unit
# Fermi-level density of states   0.352 states/eV per atom
# Volume   10.32 Å³ per atom

# BMoO4 (GGA+U, optimized geometry)
data_BMoO4
_cell_length_a 4.5363
_cell_length_b 5.8441
_cell_length_c 4.8858
_cell_angle_alpha 90.86
_cell_angle_beta 90.00
_cell_angle_gamma 90.00
_symmetry_space_group_name_H-M 'P 1'
_symmetry_Int_Tables_number 1
loop_
_symmetry_equiv_pos_as_xyz
'x,y,z'
loop_
_atom_site_label
_atom_site_type_symbol
_atom_site_fract_x
_atom_site_fract_y
_atom_site_fract_z
_atom_site_occupancy
O1 O 0.7706 0.0049 0.8490 1
O2 O 0.2383 0.7376 0.6380 1
O3 O 0.2706 0.4951 0.1510 1
O4 O 0.2617 0.2376 0.6380 1
O5 O 0.2294 0.9951 0.1510 1
O6 O 0.7294 0.5049 0.8490 1
O7 O 0.7383 0.7624 0.3620 1
O8 O 0.7617 0.2624 0.3620 1
B1 B 0.5000 0.5000 0.0000 1
B2 B 0.0000 0.0000 0.0000 1
Mo1 Mo 0.5000 0.0000 0.5000 1
Mo2 Mo 0.0000 0.5000 0.5000 1
# Symmetry   P2_1/c
# E_tot   -7.23 eV/atom
# Total magnetization   1.000 μB per formula unit
# Volume   10.79 Å³ per atom

# BMo2O (GGA+U, optimized geometry)
data_BMo2O
_cell_length_a 3.9535
_cell_length_b 3.9535
_cell_length_c 3.9535
_cell_angle_alpha 60.00
_cell_angle_beta 60.00
_cell_angle_gamma 60.00
_symmetry_space_group_name_H-M 'P 1'
_symmetry_Int_Tables_number 1
loop_
_symmetry_equiv_pos_as_xyz
'x,y,z'
loop_
_atom_site_label
_atom_site_type_symbol
_atom_site_fract_x
_atom_site_fract_y
_atom_site_fract_z
_atom_site_occupancy
O1 O 0.5000 0.5000 0.5000 1
B1 B 0.0000 0.0000 0.0000 1
Mo1 Mo 0.7500 0.7500 0.7500 1
Mo2 Mo 0.2500 0.2500 0.2500 1
# Relative energy among the computed polymorphs   0.2784 eV per atom
# Symmetry   Fm-3m
# Total magnetization   0.000 μB per formula unit
# Fermi-level density of states   0.457 states/eV per atom
# Volume   10.92 Å³ per atom

# B2MoO (GGA+U, optimized geometry)
data_B2MoO
_cell_length_a 4.9650
_cell_length_b 4.9650
_cell_length_c 4.6840
_cell_angle_alpha 58.00
_cell_angle_beta 58.00
_cell_angle_gamma 90.00
_symmetry_space_group_name_H-M 'P 1'
_symmetry_Int_Tables_number 1
loop_
_symmetry_equiv_pos_as_xyz
'x,y,z'
loop_
_atom_site_label
_atom_site_type_symbol
_atom_site_fract_x
_atom_site_fract_y
_atom_site_fract_z
_atom_site_occupancy
Mo1 Mo 0.0000 0.0000 0.0000 1
Mo2 Mo 0.7500 0.2500 0.5000 1
B1 B 0.5209 0.1250 0.2500 1
B2 B 0.2291 0.6250 0.2500 1
B3 B 0.8750 0.7709 0.7500 1
B4 B 0.3750 0.4791 0.7500 1
O1 O 0.2500 0.7500 0.5000 1
O2 O 0.5000 0.5000 0.0000 1
# Symmetry   I-42d
# E_tot   -5.79 eV/atom
# Total magnetization   0.000 μB per formula unit
# Fermi-level density of states   0.370 states/eV per atom
# Volume   9.55 Å³ per atom

# BMoP2O (GGA+U, optimized geometry)
data_BMoP2O
_cell_length_a 4.8598
_cell_length_b 4.8598
_cell_length_c 2.7718
_cell_angle_alpha 90.00
_cell_angle_beta 90.00
_cell_angle_gamma 90.00
_symmetry_space_group_name_H-M 'P 1'
_symmetry_Int_Tables_number 1
loop_
_symmetry_equiv_pos_as_xyz
'x,y,z'
loop_
_atom_site_label
_atom_site_type_symbol
_atom_site_fract_x
_atom_site_fract_y
_atom_site_fract_z
_atom_site_occupancy
P1 P 0.0000 0.5000 0.0000 1
P2 P 0.5000 0.0000 0.0000 1
Mo1 Mo 0.5000 0.5000 0.5000 1
O1 O 0.0000 0.0000 0.5000 1
B1 B 0.0000 0.0000 0.0000 1
# Relative energy among the computed polymorphs   0.0000 eV per atom
# Symmetry   P4/mmm
# Total magnetization   2.327 μB per formula unit
# Fermi-level density of states   0.637 states/eV per atom
# Volume   13.09 Å³ per atom

# BMoP2O (GGA+U, optimized geometry)
data_BMoP2O
_cell_length_a 4.7875
_cell_length_b 4.7875
_cell_length_c 3.7618
_cell_angle_alpha 90.00
_cell_angle_beta 90.00
_cell_angle_gamma 90.00
_symmetry_space_group_name_H-M 'P 1'
_symmetry_Int_Tables_number 1
loop_
_symmetry_equiv_pos_as_xyz
'x,y,z'
loop_
_atom_site_label
_atom_site_type_symbol
_atom_site_fract_x
_atom_site_fract_y
_atom_site_fract_z
_atom_site_occupancy
P1 P 0.0000 0.5000 0.0000 1
P2 P 0.5000 0.0000 0.0000 1
O1 O 0.0000 0.0000 0.5000 1
B1 B 0.5000 0.5000 0.5000 1
Mo1 Mo 0.0000 0.0000 0.0000 1
# Relative energy among the computed polymorphs   0.6571 eV per atom
# Symmetry   P4/mmm
# Total magnetization   0.000 μB per formula unit
# Fermi-level density of states   0.536 states/eV per atom
# Volume   17.24 Å³ per atom

# PaB2MoO8 (GGA+U, optimized geometry)
data_PaB2MoO8
_cell_length_a 5.2603
_cell_length_b 5.2603
_cell_length_c 5.7538
_cell_angle_alpha 90.00
_cell_angle_beta 90.00
_cell_angle_gamma 120.00
_symmetry_space_group_name_H-M 'P 1'
_symmetry_Int_Tables_number 1
loop_
_symmetry_equiv_pos_as_xyz
'x,y,z'
loop_
_atom_site_label
_atom_site_type_symbol
_atom_site_fract_x
_atom_site_fract_y
_atom_site_fract_z
_atom_site_occupancy
O1 O 0.8240 0.6481 0.2663 1
O2 O 0.6481 0.8240 0.7337 1
O3 O 0.8240 0.1760 0.2663 1
O4 O 0.6667 0.3333 0.6019 1
O5 O 0.1760 0.3519 0.7337 1
O6 O 0.3519 0.1760 0.2663 1
O7 O 0.3333 0.6667 0.3981 1
O8 O 0.1760 0.8240 0.7337 1
Pa1 Pa 0.0000 0.0000 0.0000 1
B1 B 0.3333 0.6667 0.6354 1
B2 B 0.6667 0.3333 0.3646 1
Mo1 Mo 0.0000 0.0000 0.5000 1
# Symmetry   P-3m1
# E_tot   -7.76 eV/atom
# Total magnetization   1.001 μB per formula unit
# Fermi-level density of states   0.752 states/eV per atom
# Volume   11.49 Å³ per atom

# PrB4Mo3O12 (GGA+U, optimized geometry)
data_PrB4Mo3O12
_cell_length_a 6.3641
_cell_length_b 6.3641
_cell_length_c 6.3641
_cell_angle_alpha 102.94
_cell_angle_beta 102.94
_cell_angle_gamma 102.94
_symmetry_space_group_name_H-M 'P 1'
_symmetry_Int_Tables_number 1
loop_
_symmetry_equiv_pos_as_xyz
'x,y,z'
loop_
_atom_site_label
_atom_site_type_symbol
_atom_site_fract_x
_atom_site_fract_y
_atom_site_fract_z
_atom_site_occupancy
O1 O 0.5000 0.0893 0.9107 1
O2 O 0.0893 0.9107 0.5000 1
O3 O 0.8054 0.0331 0.6321 1
O4 O 0.6321 0.8054 0.0331 1
O5 O 0.9107 0.5000 0.0893 1
O6 O 0.9669 0.1946 0.3679 1
O7 O 0.1946 0.3679 0.9669 1
O8 O 0.0331 0.6321 0.8054 1
O9 O 0.3610 0.6390 0.5000 1
O10 O 0.3679 0.9669 0.1946 1
O11 O 0.5000 0.3610 0.6390 1
O12 O 0.6390 0.5000 0.3610 1
B1 B 0.5000 0.5000 0.5000 1
B2 B 0.0508 0.5000 0.9492 1
B3 B 0.9492 0.0508 0.5000 1
B4 B 0.5000 0.9492 0.0508 1
Pr1 Pr 0.0000 0.0000 0.0000 1
Mo1 Mo 0.4513 0.0000 0.5487 1
Mo2 Mo 0.0000 0.5487 0.4513 1
Mo3 Mo 0.5487 0.4513 0.0000 1
# Symmetry   R32
# E_tot   -7.93 eV/atom
# Total magnetization   9.000 μB per formula unit
# Fermi-level density of states   0.000 states/eV per atom
# Volume   11.72 Å³ per atom

# Pr2B2MoO9 (GGA+U, optimized geometry)
data_Pr2B2MoO9
_cell_length_a 5.3690
_cell_length_b 7.1207
_cell_length_c 10.7598
_cell_angle_alpha 74.41
_cell_angle_beta 76.13
_cell_angle_gamma 72.88
_symmetry_space_group_name_H-M 'P 1'
_symmetry_Int_Tables_number 1
loop_
_symmetry_equiv_pos_as_xyz
'x,y,z'
loop_
_atom_site_label
_atom_site_type_symbol
_atom_site_fract_x
_atom_site_fract_y
_atom_site_fract_z
_atom_site_occupancy
B1 B 0.7381 0.2439 0.8451 1
B2 B 0.4613 0.5873 0.8637 1
B3 B 0.2619 0.7561 0.1549 1
B4 B 0.5387 0.4127 0.1363 1
O1 O 0.5124 0.2214 0.1478 1
O2 O 0.2465 0.7866 0.4303 1
O3 O 0.9158 0.1707 0.2987 1
O4 O 0.3000 0.1796 0.4470 1
O5 O 0.7000 0.8204 0.5530 1
O6 O 0.4532 0.8593 0.1387 1
O7 O 0.6883 0.4516 0.8156 1
O8 O 0.8551 0.5573 0.3741 1
O9 O 0.0842 0.8293 0.7013 1
O10 O 0.7647 0.4716 0.0735 1
O11 O 0.0101 0.8681 0.1339 1
O12 O 0.1449 0.4427 0.6259 1
O13 O 0.5468 0.1407 0.8613 1
O14 O 0.3117 0.5484 0.1844 1
O15 O 0.7535 0.2134 0.5697 1
O16 O 0.2353 0.5284 0.9265 1
O17 O 0.9899 0.1319 0.8661 1
O18 O 0.4876 0.7786 0.8522 1
Mo1 Mo 0.9587 0.2902 0.4188 1
Mo2 Mo 0.0413 0.7098 0.5812 1
Pr1 Pr 0.1575 0.2069 0.0459 1
Pr2 Pr 0.3701 0.0770 0.6866 1
Pr3 Pr 0.6299 0.9230 0.3134 1
Pr4 Pr 0.8425 0.7931 0.9541 1
# Symmetry   P-1
# E_tot   -7.97 eV/atom
# Total magnetization   0.000 μB per formula unit
# Fermi-level density of states   0.000 states/eV per atom
# Volume   13.32 Å³ per atom

# Rb2B2MoO6 (GGA+U, optimized geometry)
data_Rb2B2MoO6
_cell_length_a 5.3412
_cell_length_b 5.3412
_cell_length_c 6.9994
_cell_angle_alpha 67.57
_cell_angle_beta 67.57
_cell_angle_gamma 60.00
_symmetry_space_group_name_H-M 'P 1'
_symmetry_Int_Tables_number 1
loop_
_symmetry_equiv_pos_as_xyz
'x,y,z'
loop_
_atom_site_label
_atom_site_type_symbol
_atom_site_fract_x
_atom_site_fract_y
_atom_site_fract_z
_atom_site_occupancy
B1 B 0.3945 0.3945 0.8166 1
B2 B 0.6055 0.6055 0.1834 1
O1 O 0.7523 0.3030 0.1923 1
O2 O 0.6970 0.2477 0.8077 1
O3 O 0.3030 0.7523 0.1923 1
O4 O 0.7523 0.7523 0.1923 1
O5 O 0.2477 0.2477 0.8077 1
O6 O 0.2477 0.6970 0.8077 1
Rb1 Rb 0.7900 0.7900 0.6301 1
Rb2 Rb 0.2100 0.2100 0.3699 1
Mo1 Mo 0.0000 0.0000 0.0000 1
# Symmetry   R-3m
# E_tot   -6.82 eV/atom
# Total magnetization   2.000 μB per formula unit
# Fermi-level density of states   0.221 states/eV per atom
# Volume   14.11 Å³ per atom

Q: Which of these has the lowest volume?
A: B2MoO